Record 1
Material: In2Ge2I7
Method: DFT, PBE
State: optimized geometry

Geometry as POSCAR:
```
In2Ge2I7
1.0
7.2593 -0.2738 -0.3129
-0.8057 8.8484 0.1524
-0.8057 -1.0260 8.7900
I In Ge
7 2 2
Direct
0.7814 0.9016 0.5728
0.7384 0.4033 0.4033
0.2616 0.5967 0.5967
0.2186 0.0984 0.4272
0.7814 0.5728 0.9016
0.5000 0.0000 0.0000
0.2186 0.4272 0.0984
0.0000 0.2928 0.7072
0.0000 0.7072 0.2928
0.4287 0.2265 0.2265
0.5713 0.7735 0.7735
```

## Properties
crystal system: monoclinic
energy relative to the elements, uncorrected: -3.2 eV per formula unit

=====

Record 2
Material: InGeI4
Method: DFT, PBE
State: optimized geometry

Geometry as POSCAR:
```
InGeI4
1.0
-4.6949 0.2278 -5.9466
-5.5647 -3.2938 3.9525
-6.1336 7.6156 4.9769
Ge I In
2 8 2
Direct
0.2500 0.9348 0.6305
0.7500 0.0652 0.3695
0.9241 0.1934 0.6071
0.4241 0.3004 0.3929
0.6020 0.9277 0.1884
0.8980 0.3839 0.1884
0.1020 0.6161 0.8116
0.3980 0.0723 0.8116
0.5759 0.6996 0.6071
0.0759 0.8066 0.3929
0.7500 0.5579 0.3841
0.2500 0.4421 0.6159
```

## Properties
crystal system: monoclinic
energy relative to the elements, uncorrected: -2.0 eV per formula unit

=====

Record 3
Material: InGeI2
Method: DFT, PBE
State: optimized geometry

Geometry as POSCAR:
```
InGeI2
1.0
-4.1796 -2.5989 2.6905
-5.3294 1.2211 -1.2526
-3.1747 -3.7494 -2.7066
Ge I In
1 2 1
Direct
0.0000 0.0000 0.0000
0.7500 0.7500 0.7500
0.2500 0.2500 0.2500
0.5000 0.5000 0.5000
```

## Properties
crystal system: cubic
energy relative to the elements, uncorrected: 0.4 eV per formula unit

=====

Record 4
Material: In2GeI
Method: DFT, PBE
State: optimized geometry

Geometry as POSCAR:
```
In2GeI
1.0
6.8287 0.0000 0.0000
0.0000 6.8287 0.0000
3.4143 3.4143 6.9656
I In Ge
2 4 2
Direct
0.0000 0.0000 0.0000
0.7500 0.2500 0.5000
0.3750 0.4434 0.7500
0.8750 0.8066 0.7500
0.1934 0.6250 0.2500
0.5566 0.1250 0.2500
0.2500 0.7500 0.5000
0.5000 0.5000 0.0000
```

## Properties
crystal system: tetragonal
energy relative to the elements, uncorrected: 0.2 eV per formula unit

=====

Record 5
Material: InGeI3
Method: DFT, PBE
State: optimized geometry

Geometry as POSCAR:
```
InGeI3
1.0
5.9539 0.0000 0.0000
0.0000 5.9539 0.0000
0.0000 0.0000 5.9539
In Ge I
1 1 3
Direct
0.0000 0.0000 0.0000
0.5000 0.5000 0.5000
0.0000 0.0000 0.5000
0.0000 0.5000 0.0000
0.5000 0.0000 0.0000
```

## Properties
crystal system: cubic
energy relative to the elements, uncorrected: 1.2 eV per formula unit

=====

Record 6
Material: KInGeI4
Method: DFT, PBE
State: optimized geometry

Geometry as POSCAR:
```
KInGeI4
1.0
8.6266 0.0000 -0.2936
0.0000 8.1489 0.0000
-3.7329 0.0000 9.3816
I Ge K In
8 2 2 2
Direct
0.5613 0.2500 0.9002
0.5878 0.2500 0.4208
0.0268 0.9997 0.7482
0.4122 0.7500 0.5792
0.9732 0.0003 0.2518
0.4387 0.7500 0.0998
0.0268 0.5003 0.7482
0.9732 0.4997 0.2518
0.7942 0.2500 0.7168
0.2058 0.7500 0.2832
0.7615 0.7500 0.4447
0.2385 0.2500 0.5553
0.3001 0.2500 0.0396
0.6999 0.7500 0.9604
```

## Properties
crystal system: monoclinic
energy relative to the elements, uncorrected: -4.4 eV per formula unit

=====

Total DFT energy (no corrections) readings, ordered: -2.616, -2.585, -2.526, -2.872, -2.163, -2.727 eV per atom